The following is a PBE calculation of CaAcPmAl after structural relaxation, from the Alexandria database.

Lattice parameters (Å, degrees): 5.6650 5.6650 5.6650 60.00 60.00 60.00
Last column: nearest neighbours and their distance in Å.
Positions (direct):
1 Pm 0.0000 0.0000 0.0000  4 Al 3.47, 4 Ca 3.47
2 Al 0.7500 0.7500 0.7500  4 Pm 3.47, 4 Ac 3.47
3 Ca 0.2500 0.2500 0.2500  4 Ac 3.47, 4 Pm 3.47
4 Ac 0.5000 0.5000 0.5000  4 Al 3.47, 4 Ca 3.47

The spin magnetization comes out at 0.0 μB per formula unit. As for the symmetry: F-43m, No. 216. The calculation puts the theoretical density at 5672 kg/m³. As for the formation energy: -34.2 meV/atom.